# CdAgO2

A relaxed CdAgO2 crystal (PBE-GGA, the Alexandria database).

a b c (Å): 3.2920 3.2920 17.3757
angles (deg): 90.00 90.00 120.00
Space group R3m (No. 160, hexagonal axes)
One atom of each set of equivalent atoms:
Cd (0.0000, 0.0000, 0.0000) (multiplicity 3)
Ag (0.0000, 0.0000, 0.1689) (multiplicity 3)
O (0.0000, 0.0000, 0.5861) (multiplicity 3)
O (0.0000, 0.0000, 0.7509) (multiplicity 3)

## Properties
Uncorrected formation energy: -349 meV per atom
Total DFT energy (no corrections): -45.23 eV per cell
Volume: 163 Å³ per cell
Total magnetization: 0.99 μB/f.u.
D(E_F): 0.6178 states/eV/atom

# CdAg3O

A relaxed CdAg3O crystal (PBE-GGA, the Alexandria database).

a b c (Å): 5.1633 5.1633 5.1633
angles (deg): 90.00 90.00 90.00
Space group Pm-3m (No. 221)
One atom of each set of equivalent atoms:
Cd (0.0000, 0.0000, 0.0000) (multiplicity 1)
Ag (0.0000, 0.0000, 0.5000) (multiplicity 3)
O (0.5000, 0.5000, 0.5000) (multiplicity 1)

## Properties
Uncorrected formation energy: 1135 meV per atom
Total DFT energy (no corrections): -8.75 eV per cell
Volume: 138 Å³ per cell
Total magnetization: 0.00 μB/f.u.
D(E_F): 0.8385 states/eV/atom

# Cd2AgO

A relaxed Cd2AgO crystal (PBE-GGA, the Alexandria database).

a b c (Å): 6.7782 6.7782 6.4871
angles (deg): 90.00 90.00 90.00
Space group I-42d (No. 122)
One atom of each set of equivalent atoms:
Cd (0.1819, 0.7500, 0.1250) (multiplicity 8)
Ag (0.0000, 0.0000, 0.5000) (multiplicity 4)
O (0.0000, 0.0000, 0.0000) (multiplicity 4)

## Properties
Uncorrected formation energy: -300 meV per atom
Total DFT energy (no corrections): -43.36 eV per cell
Volume: 298 Å³ per cell
Total magnetization: 0.00 μB/f.u.
D(E_F): 0.2260 states/eV/atom

# CdAgO2

A relaxed CdAgO2 crystal (PBE-GGA, the Alexandria database).

a b c (Å): 5.1722 5.1722 10.0756
angles (deg): 90.00 90.00 90.00
Space group I-42d (No. 122)
One atom of each set of equivalent atoms:
Cd (0.0000, 0.0000, 0.0000) (multiplicity 4)
Ag (0.0000, 0.0000, 0.5000) (multiplicity 4)
O (0.2483, 0.2500, 0.1250) (multiplicity 8)

## Properties
Uncorrected formation energy: -343 meV per atom
Total DFT energy (no corrections): -60.22 eV per cell
Volume: 270 Å³ per cell
Total magnetization: 0.81 μB/f.u.
D(E_F): 0.5726 states/eV/atom

# CdAg5O4

A relaxed CdAg5O4 crystal (PBE-GGA, the Alexandria database).

a b c (Å): 13.8607 3.3399 6.5228
angles (deg): 90.00 101.40 90.00
Space group C2/m (No. 12)
One atom of each set of equivalent atoms:
Cd (0.0000, 0.0000, 0.0000) (multiplicity 2)
Ag (0.0000, 0.0000, 0.5000) (multiplicity 2)
Ag (0.1768, 0.5000, 0.8101) (multiplicity 4)
Ag (0.1781, 0.5000, 0.3724) (multiplicity 4)
O (0.0184, 0.5000, 0.7510) (multiplicity 4)
O (0.1659, 0.0000, 0.1182) (multiplicity 4)

## Properties
Uncorrected formation energy: -175 meV per atom
Total DFT energy (no corrections): -73.51 eV per cell
Volume: 296 Å³ per cell
Total magnetization: 0.00 μB/f.u.
D(E_F): 0.7427 states/eV/atom

# CdAgO2

A relaxed CdAgO2 crystal (PBE-GGA, the Alexandria database).

a b c (Å): 5.6401 5.8339 3.3431
angles (deg): 90.00 90.00 90.00
Space group Pnnm (No. 58)
One atom of each set of equivalent atoms:
Cd (0.0000, 0.0000, 0.0000) (multiplicity 2)
Ag (0.0000, 0.5000, 0.0000) (multiplicity 2)
O (0.1901, 0.2215, 0.5000) (multiplicity 4)

## Properties
Uncorrected formation energy: -417 meV per atom
Total DFT energy (no corrections): -30.71 eV per cell
Volume: 110 Å³ per cell
Total magnetization: 0.00 μB/f.u.
D(E_F): 0.4744 states/eV/atom

# Cd12Ag3O5

A relaxed Cd12Ag3O5 crystal (PBE-GGA, the Alexandria database).

a b c (Å): 14.7509 14.7509 14.7509
angles (deg): 90.00 90.00 90.00
Space group Ia-3d (No. 230)
One atom of each set of equivalent atoms:
Cd (0.0324, 0.0672, 0.6492) (multiplicity 96)
Ag (0.0000, 0.2500, 0.1250) (multiplicity 24)
O (0.0000, 0.0000, 0.0000) (multiplicity 16)
O (0.0000, 0.2500, 0.3750) (multiplicity 24)

## Properties
Uncorrected formation energy: -385 meV per atom
Total DFT energy (no corrections): -416.25 eV per cell
Volume: 3210 Å³ per cell
Total magnetization: 0.00 μB/f.u.
D(E_F): 0.3671 states/eV/atom

# CdAgO2

A relaxed CdAgO2 crystal (PBE-GGA, the Alexandria database).

a b c (Å): 3.3278 3.3278 19.1018
angles (deg): 90.00 90.00 120.00
Space group R-3m (No. 166, hexagonal axes)
One atom of each set of equivalent atoms:
Cd (0.0000, 0.0000, 0.0000) (multiplicity 3)
Ag (0.0000, 0.0000, 0.5000) (multiplicity 3)
O (0.0000, 0.0000, 0.3951) (multiplicity 6)

## Properties
Uncorrected formation energy: -410 meV per atom
Total DFT energy (no corrections): -45.97 eV per cell
Volume: 183 Å³ per cell
Total magnetization: 0.00 μB/f.u.
D(E_F): 1.0834 states/eV/atom

# CdAg2O4

A relaxed CdAg2O4 crystal (PBE-GGA, the Alexandria database).

a b c (Å): 6.0209 6.0209 11.8439
angles (deg): 90.00 90.00 90.00
Space group I4_1/amd (No. 141, origin choice 2)
One atom of each set of equivalent atoms:
Cd (0.0000, 0.2500, 0.3750) (multiplicity 4)
Ag (0.0000, 0.0000, 0.0000) (multiplicity 8)
O (0.0000, 0.0201, 0.7541) (multiplicity 16)

## Properties
Uncorrected formation energy: -229 meV per atom
Total DFT energy (no corrections): -112.20 eV per cell
Volume: 429 Å³ per cell
Total magnetization: 0.00 μB/f.u.

# CdAgO2

A relaxed CdAgO2 crystal (PBE-GGA, the Alexandria database).

a b c (Å): 5.7518 3.4414 5.6883
angles (deg): 90.00 103.91 90.00
Space group C2/m (No. 12)
One atom of each set of equivalent atoms:
Cd (0.0000, 0.0000, 0.0000) (multiplicity 2)
Ag (0.0000, 0.5000, 0.5000) (multiplicity 2)
O (0.2153, 0.5000, 0.2359) (multiplicity 4)

## Properties
Uncorrected formation energy: -440 meV per atom
Total DFT energy (no corrections): -30.89 eV per cell
Volume: 109 Å³ per cell
Total magnetization: 0.00 μB/f.u.
D(E_F): 0.8766 states/eV/atom

# CdAgO2

A relaxed CdAgO2 crystal (PBE-GGA, the Alexandria database).

a b c (Å): 6.8228 9.3105 3.4449
angles (deg): 90.00 92.12 90.00
Space group C2/m (No. 12)
One atom of each set of equivalent atoms:
Cd (0.2500, 0.2500, 0.0000) (multiplicity 4)
Ag (0.0000, 0.0000, 0.5000) (multiplicity 2)
Ag (0.0000, 0.5000, 0.5000) (multiplicity 2)
O (0.0000, 0.2283, 0.5000) (multiplicity 4)
O (0.2476, 0.5000, 0.1296) (multiplicity 4)

## Properties
Uncorrected formation energy: -528 meV per atom
Total DFT energy (no corrections): -63.18 eV per cell
Volume: 219 Å³ per cell
Total magnetization: 0.00 μB/f.u.
D(E_F): 0.0598 states/eV/atom

# CdAg2OsO6

A relaxed CdAg2OsO6 crystal (PBE-GGA, the Alexandria database).

a b c (Å): 9.8116 5.8253 5.6342
angles (deg): 90.00 124.69 90.00
Space group C2/m (No. 12)
One atom of each set of equivalent atoms:
Cd (0.0000, 0.0000, 0.0000) (multiplicity 2)
Ag (0.2374, 0.0000, 0.7223) (multiplicity 4)
Os (0.0000, 0.5000, 0.5000) (multiplicity 2)
O (0.0673, 0.2712, 0.3491) (multiplicity 8)
O (0.2152, 0.5000, 0.8437) (multiplicity 4)

## Properties
Uncorrected formation energy: -604 meV per atom
Total DFT energy (no corrections): -107.27 eV per cell
Volume: 265 Å³ per cell
Total magnetization: 0.00 μB/f.u.
D(E_F): 0.1186 states/eV/atom

> Number 3 is which compound?

Cd2AgO

Copy entry 4 word for word.
# CdAgO2

A relaxed CdAgO2 crystal (PBE-GGA, the Alexandria database).

a b c (Å): 5.1722 5.1722 10.0756
angles (deg): 90.00 90.00 90.00
Space group I-42d (No. 122)
One atom of each set of equivalent atoms:
Cd (0.0000, 0.0000, 0.0000) (multiplicity 4)
Ag (0.0000, 0.0000, 0.5000) (multiplicity 4)
O (0.2483, 0.2500, 0.1250) (multiplicity 8)

## Properties
Uncorrected formation energy: -343 meV per atom
Total DFT energy (no corrections): -60.22 eV per cell
Volume: 270 Å³ per cell
Total magnetization: 0.81 μB/f.u.
D(E_F): 0.5726 states/eV/atom

> Number 8 is which compound?

CdAgO2